A plane-wave DFT calculation with PBE-GGA was carried out for crystalline LiIn2CuTe4 at its relaxed geometry.

a = 6.3729 Å, b = 6.3729 Å, c = 12.8205 Å
α = 90.00°, β = 90.00°, γ = 90.00°
Positions (direct):
Li (0.0000, 0.0000, 0.0000)
Li (0.5000, 0.5000, 0.5000)
In (0.0000, 0.0000, 0.5000)
In (0.0000, 0.5000, 0.2500)
In (0.5000, 0.0000, 0.7500)
In (0.5000, 0.5000, 0.0000)
Cu (0.0000, 0.5000, 0.7500)
Cu (0.5000, 0.0000, 0.2500)
Te (0.2270, 0.2600, 0.8708)
Te (0.2400, 0.7270, 0.6292)
Te (0.2600, 0.7730, 0.1292)
Te (0.2730, 0.2400, 0.3708)
Te (0.7270, 0.7600, 0.3708)
Te (0.7400, 0.2270, 0.1292)
Te (0.7600, 0.2730, 0.6292)
Te (0.7730, 0.7400, 0.8708)

Space-group type = I-4 (82)
Density = 5.17 g/cm3
Uncorrected formation energy = -43.1 kJ/mol of atoms
Uncorrected energy = -3.454 eV per atom